DFT (PBE-GGA) results for an optimized crystal structure of PrEr8In6.

a b c (Å): 8.2899 8.2899 8.2899
angles (deg): 66.06 66.06 66.06
Positions (direct):
Pr: 0.0000 0.0000 0.0000
Er: 0.1142 0.7806 0.4439
Er: 0.2194 0.5561 0.8858
Er: 0.3323 0.3323 0.3323
Er: 0.4439 0.1142 0.7806
Er: 0.5561 0.8858 0.2194
Er: 0.6677 0.6677 0.6677
Er: 0.7806 0.4439 0.1142
Er: 0.8858 0.2194 0.5561
In: 0.0605 0.4013 0.7193
In: 0.2807 0.9395 0.5987
In: 0.4013 0.7193 0.0605
In: 0.5987 0.2807 0.9395
In: 0.7193 0.0605 0.4013
In: 0.9395 0.5987 0.2807

Its volume is 456 Å³/cell. For the calculated formation energy, the calculation gives -196 meV/atom. Its total energy is -60.7 eV per cell.